1.
A plane-wave DFT calculation with PBE-GGA was carried out for an optimized crystal structure of Ca3In2Hg7.

Lattice parameters (Å, degrees): 5.068 3.935 16.411 90.00 96.72 90.00
Sites, in units of the cell vectors:
Ca 0.000 0.000 0.000
Ca 0.288 0.500 0.627
Ca 0.712 0.500 0.373
In 0.184 0.000 0.284
In 0.816 0.000 0.716
Hg 0.113 0.500 0.144
Hg 0.235 0.000 0.458
Hg 0.362 0.000 0.817
Hg 0.500 0.500 0.000
Hg 0.638 0.000 0.183
Hg 0.765 0.000 0.542
Hg 0.887 0.500 0.856

Computed properties:
- space-group type = P2/m
- crystal system = monoclinic

***

2.
A plane-wave DFT calculation with PBE-GGA was carried out for an optimized crystal structure of CaInHg5.

Lattice parameters (Å, degrees): 4.838 4.838 8.086 90.00 90.00 90.00
Sites, in units of the cell vectors:
Ca 0.000 0.000 0.000
In 0.000 0.000 0.500
Hg 0.000 0.500 0.275
Hg 0.000 0.500 0.725
Hg 0.500 0.000 0.275
Hg 0.500 0.000 0.725
Hg 0.500 0.500 0.000

Computed properties:
- space-group type = P4/mmm
- crystal system = tetragonal
- relative energy among the computed polymorphs (meV per atom) = 0

***

3.
A plane-wave DFT calculation with PBE-GGA was carried out for an optimized crystal structure of CaIn3Hg6.

Lattice parameters (Å, degrees): 10.473 10.473 6.387 90.00 90.00 130.49
Sites, in units of the cell vectors:
Ca 0.158 0.842 0.500
Ca 0.842 0.158 0.000
In 0.062 0.303 0.475
In 0.303 0.062 0.975
In 0.440 0.560 0.590
In 0.560 0.440 0.090
In 0.697 0.938 0.475
In 0.938 0.697 0.975
Hg 0.009 0.991 0.248
Hg 0.105 0.549 0.807
Hg 0.239 0.383 0.026
Hg 0.305 0.695 0.271
Hg 0.383 0.239 0.526
Hg 0.451 0.895 0.807
Hg 0.549 0.105 0.307
Hg 0.617 0.761 0.026
Hg 0.695 0.305 0.771
Hg 0.761 0.617 0.526
Hg 0.895 0.451 0.307
Hg 0.991 0.009 0.748

Computed properties:
- space-group type = Cmc2_1
- crystal system = orthorhombic

***

Number 1: calculated formation energy -0.29 eV/atom, magnetization 0.00 μB per atom. Number 2: calculated formation energy -0.21 eV/atom, magnetization 0.00 μB per atom. Number 3: calculated formation energy -0.13 eV/atom, magnetization 0.00 μB per atom.